This record from Alexandria via LeMat-Bulk describes a relaxed Sm2RuF crystal. The functional is PBE-GGA.

Space-group type: R-3m, No. 166
Density: 8.1 Mg/m³
Energy relative to the elements, uncorrected: -1226 meV/atom
Final energy: -6.372 eV per atom

a b c (Å): 7.4711 7.4711 7.4711
angles (deg): 28.84 28.84 28.84
Positions (direct):
Sm: 0.2487 0.2487 0.2487
Sm: 0.7513 0.7513 0.7513
Ru: 0.0000 0.0000 0.0000
F: 0.5000 0.5000 0.5000


This record from Alexandria via LeMat-Bulk describes a relaxed Pm2Sm6DyY3 crystal. The functional is PBE-GGA.

E_form: 0.0134 eV per atom
Space-group type: C2/m, No. 12
Density: 6.7 Mg/m³
Final energy: -5.137 eV per atom

a b c (Å): 6.2597 6.2597 11.9508
angles (deg): 95.00 95.00 119.99
Positions (direct):
Pm: 0.1666 0.8334 0.0000
Pm: 0.8334 0.1666 0.0000
Sm: 0.0836 0.4162 0.7489
Sm: 0.2511 0.2511 0.2514
Sm: 0.4162 0.0836 0.7489
Sm: 0.5838 0.9164 0.2511
Sm: 0.7489 0.7489 0.7486
Sm: 0.9164 0.5838 0.2511
Dy: 0.5000 0.5000 0.0000
Y: 0.0000 0.0000 0.5000
Y: 0.3335 0.6665 0.5000
Y: 0.6665 0.3335 0.5000


Among the records above, which one has the highest density? Sm2RuF


final energy of number 1 (Sm2RuF)? -6.372 eV per atom


What is the formula in the first record? Sm2RuF


final energy of number 2 (Pm2Sm6DyY3)? -5.137 eV per atom